Entry 1:
A PBEsol-optimized structure of Ta2InTe, computed with SCAN.

Cell and atoms, written as POSCAR:
```
Ta2InTe
1.0
0.0000 3.4204 3.4204
3.4204 0.0000 3.4204
3.4204 3.4204 0.0000
Ta In Te
2 1 1
Direct
0.0000 0.0000 0.0000
0.2500 0.2500 0.2500
0.5000 0.5000 0.5000
0.7500 0.7500 0.7500
```

As for the raw formation energy: 0.5510 eV/atom. For the density of states at the Fermi level, the calculation gives 3.76 states/eV/cell. The value obtained for the energy relative to the lowest polymorph listed for this composition is 139.0 meV per atom. Its crystal system is cubic. The calculation puts the raw total energy at -201.600 eV per cell.



Entry 2:
A PBEsol-optimized structure of Ta2InTe, computed with SCAN.

Cell and atoms, written as POSCAR:
```
Ta2InTe
1.0
3.4649 0.0000 0.0000
0.0000 4.5701 0.0000
0.0000 0.0000 4.9763
Ta In Te
2 1 1
Direct
0.0000 0.0000 0.0000
0.5000 0.0000 0.5000
0.0000 0.5000 0.5000
0.5000 0.5000 0.0000
```

As for the raw formation energy: 0.4120 eV/atom. For the density of states at the Fermi level, the calculation gives 2.23 states/eV/cell. The value obtained for the energy relative to the lowest polymorph listed for this composition is 0.0 meV per atom. Its crystal system is orthorhombic. The calculation puts the raw total energy at -202.156 eV per cell.



Entry 3:
A PBEsol-optimized structure of TaTlIn2, computed with SCAN.

Cell and atoms, written as POSCAR:
```
TaTlIn2
1.0
5.3814 -1.5159 0.0000
5.3814 1.5159 0.0000
-0.6458 0.0000 5.2586
Ta Tl In
1 1 2
Direct
0.0000 0.0000 0.0000
0.7428 0.7428 0.2468
0.2661 0.2661 0.7721
0.5053 0.5053 0.5053
```

For the density of states at the Fermi level, the calculation gives 1.71 states/eV/cell. The value obtained for the energy relative to the lowest polymorph listed for this composition is 0.0 meV per atom. Its crystal system is monoclinic. The formation energy is 0.3545 eV per atom. The calculation puts the raw total energy at -204.297 eV per cell.



Entry 4:
A PBEsol-optimized structure of TaTlIn2, computed with SCAN.

Cell and atoms, written as POSCAR:
```
TaTlIn2
1.0
0.0000 3.5491 3.5491
3.5491 0.0000 3.5491
3.5491 3.5491 0.0000
Ta Tl In
1 1 2
Direct
0.0000 0.0000 0.0000
0.2500 0.2500 0.2500
0.5000 0.5000 0.5000
0.7500 0.7500 0.7500
```

For the density of states at the Fermi level, the calculation gives 2.75 states/eV/cell. The value obtained for the energy relative to the lowest polymorph listed for this composition is 446.0 meV per atom. Its crystal system is cubic. The formation energy is 0.8005 eV per atom. The calculation puts the raw total energy at -202.513 eV per cell.



Entry 5:
A PBEsol-optimized structure of TaTlIn2, computed with SCAN.

Cell and atoms, written as POSCAR:
```
TaTlIn2
1.0
3.2721 0.0000 0.0000
0.0000 4.2331 0.0000
0.0000 0.0000 6.1733
Ta Tl In
1 1 2
Direct
0.0000 0.0000 0.0000
0.0000 0.0000 0.5000
0.5000 0.5000 0.2327
0.5000 0.5000 0.7673
```

For the density of states at the Fermi level, the calculation gives 1.97 states/eV/cell. The value obtained for the energy relative to the lowest polymorph listed for this composition is 9.4 meV per atom. Its crystal system is orthorhombic. The formation energy is 0.3638 eV per atom. The calculation puts the raw total energy at -204.259 eV per cell.



Entry 6:
A PBEsol-optimized structure of TaTlIn2, computed with SCAN.

Cell and atoms, written as POSCAR:
```
TaTlIn2
1.0
3.8006 0.0000 0.0000
0.0000 3.8006 0.0000
0.0000 0.0000 5.9393
Ta Tl In
1 1 2
Direct
0.0000 0.0000 0.0000
0.5000 0.5000 0.2477
0.0000 0.0000 0.5064
0.5000 0.5000 0.7722
```

For the density of states at the Fermi level, the calculation gives 2.20 states/eV/cell. The value obtained for the energy relative to the lowest polymorph listed for this composition is 82.2 meV per atom. Its crystal system is tetragonal. The formation energy is 0.4367 eV per atom. The calculation puts the raw total energy at -203.968 eV per cell.



| no. | total magnetization (μB per atom) |
| --- | --- |
| 1 | 0.0000 |
| 2 | 0.0000 |
| 3 | 0.0000 |
| 4 | 0.4930 |
| 5 | 0.0000 |
| 6 | 0.0000 |